KHfCrRh2 PBE relaxed; energy of formation = 1.17 eV per atom; DOS(E_F) = 4.485 states/eV/f.u.
1.0
4.5908 0.0000 0.0000
0.0000 4.5908 0.0000
0.0000 0.0000 4.6206
K Hf Cr Rh
1 1 1 2
Cartesian
0.0000 0.0000 0.0000 K
2.2954 2.2954 0.0000 Hf
0.0000 0.0000 2.3103 Cr
0.0000 2.2954 2.3103 Rh
2.2954 0.0000 2.3103 Rh

---

K2HfCrS4 PBE relaxed; total DFT energy (no corrections) = -5.9325 eV/atom; DOS(E_F) = 1.202 states/eV/f.u.
1.0
-3.6374 3.6374 4.1518
3.6374 -3.6374 4.1518
3.6374 3.6374 -4.1518
K Hf Cr S
2 1 1 4
Cartesian
0.0000 0.0000 0.0000 K
0.0000 3.6374 2.0759 K
0.0000 0.0000 4.1518 Hf
3.6374 0.0000 2.0759 Cr
1.9593 2.5125 -1.3063 S
4.7624 1.9593 1.3063 S
1.6781 1.1250 2.8454 S
-1.1250 1.6781 5.4581 S

---

Q: DOS(E_F) of number 2 (K2HfCrS4)?
A: 1.202 states/eV/f.u.